(1)
4
Lattice="3.093 0.000 0.000 0.000 3.093 0.000 0.000 0.000 6.969" Properties=species:S:1:pos:R:3 comment="PBE-GGA YMn2Co, relaxed" delta_e_f_ev_per_atom=0.2181 energy_ev_per_atom=-7.7591 relative_energy_ev_per_atom=0.117 pbc="T T T"
Y 0.000 0.000 0.000
Mn 1.546 1.546 2.168
Mn 1.546 1.546 4.801
Co 0.000 0.000 3.485



(2)
12
Lattice="6.995 0.000 0.000 0.000 4.956 0.000 0.000 0.000 5.800" Properties=species:S:1:pos:R:3 comment="PBE-GGA YAgC, relaxed" delta_e_f_ev_per_atom=0.1197 energy_ev_per_atom=-6.0600 pbc="T T T"
Y 1.151 1.239 0.818
Y 2.346 3.717 3.718
Y 4.649 1.239 2.082
Y 5.843 3.717 4.982
Ag 0.251 1.239 3.801
Ag 3.247 3.717 0.901
Ag 3.748 1.239 4.899
Ag 6.744 3.717 1.999
C 1.192 3.717 0.131
C 2.305 1.239 3.031
C 4.689 3.717 2.769
C 5.803 1.239 5.669



(3)
10
Lattice="3.184 0.000 0.000 1.589 5.681 0.000 1.521 2.450 6.522" Properties=species:S:1:pos:R:3 comment="PBE-GGA NaCuH3, relaxed" energy_ev_per_atom=-3.1527 relative_energy_ev_per_atom=0.015 pbc="T T T"
Na 0.000 0.000 0.000
Na 1.557 4.046 3.252
Cu 3.114 4.785 5.730
Cu 3.182 3.342 0.771
H 1.593 2.464 0.940
H 3.115 3.441 4.870
H 3.181 4.678 1.641
H 4.702 5.659 5.560
H 5.232 6.788 3.562
H 3.734 1.326 2.840



(4)
5
Lattice="5.710 0.000 0.000 -1.699 5.530 0.000 -2.151 -1.480 5.341" Properties=species:S:1:pos:R:3 comment="PBE-GGA CsTlSnPSe, relaxed" energy_ev_per_atom=-3.4517 relative_energy_ev_per_atom=0.138 raw_formation_energy_ev_per_fu=-1.1 pbc="T T T"
Cs 0.000 0.000 0.000
Tl 0.707 0.648 3.929
Sn 2.911 1.848 1.902
P -0.948 3.141 3.245
Se 0.712 3.544 1.676



(5)
5
Lattice="5.203 0.000 0.000 0.000 5.203 0.000 0.000 0.000 6.573" Properties=species:S:1:pos:R:3 comment="PBE-GGA LiZnTe2I, relaxed" energy_ev_per_atom=-2.2417 relative_energy_ev_per_atom=0.000 raw_formation_energy_ev_per_fu=-0.2 pbc="T T T"
Li 0.000 0.000 0.000
Zn 2.601 2.601 3.286
Te 0.000 2.601 3.286
Te 2.601 0.000 3.286
I 2.601 2.601 0.000



(6)
4
Lattice="1.696 0.979 9.688 -1.696 0.979 9.688 0.000 -1.959 9.688" Properties=species:S:1:pos:R:3 comment="PBE-GGA MgSn2Pd, relaxed" delta_e_f_ev_per_atom=-0.1489 energy_ev_per_atom=-3.8472 pbc="T T T"
Mg 0.000 0.000 0.000
Sn 0.000 0.000 2.884
Sn 0.000 0.000 26.180
Pd 0.000 0.000 14.532



(7)
8
Lattice="-4.741 4.741 1.448 4.741 -4.741 1.448 4.741 4.741 -1.448" Properties=species:S:1:pos:R:3 comment="PBE-GGA CdCo, relaxed" delta_e_f_ev_per_atom=0.2014 energy_ev_per_atom=-3.8091 pbc="T T T"
Cd 1.460 1.460 0.000
Cd 3.281 -3.281 1.448
Cd -3.281 3.281 1.448
Cd 3.281 3.281 1.448
Co 4.741 1.358 0.000
Co 1.358 4.741 0.000
Co 3.383 0.000 1.448
Co 0.000 3.383 1.448



(8)
12
Lattice="8.909 -2.032 0.000 8.909 2.032 0.000 -1.909 0.000 7.950" Properties=species:S:1:pos:R:3 comment="PBE-GGA LiSm2Er3Se6, relaxed" energy_ev_per_atom=-5.5795 raw_formation_energy_ev_per_fu=-21.0 pbc="T T T"
Li 0.000 0.000 0.000
Sm 4.623 0.000 5.235
Sm 11.286 0.000 2.715
Er -0.954 0.000 3.975
Er 5.601 0.000 1.351
Er 10.308 0.000 6.599
Se 1.754 0.000 4.699
Se 2.785 0.000 0.587
Se 8.408 0.000 1.953
Se 7.501 0.000 5.998
Se 13.124 0.000 7.363
Se 14.155 0.000 3.251



(9)
6
Lattice="3.431 0.000 0.000 0.000 3.821 0.000 -1.712 0.000 5.129" Properties=species:S:1:pos:R:3 comment="PBE-GGA TiGaH, relaxed" energy_ev_per_atom=-5.1462 relative_energy_ev_per_atom=0.037 pbc="T T T"
Ti -0.008 0.955 1.672
Ti 1.728 2.866 3.457
Ga 0.014 0.955 4.393
Ga 1.706 2.866 0.736
H 0.000 2.866 2.468
H 1.719 0.955 2.661



(10)
5
Lattice="4.512 0.000 0.000 0.000 4.512 0.000 0.000 0.000 4.134" Properties=species:S:1:pos:R:3 comment="PBE-GGA LaTaFe2N, relaxed" energy_ev_per_atom=-6.5176 raw_formation_energy_ev_per_fu=9.4 pbc="T T T"
La 0.000 0.000 0.000
Ta 2.256 2.256 2.067
Fe 0.000 2.256 0.000
Fe 2.256 0.000 0.000
N 0.000 0.000 2.067



(11)
16
Lattice="-4.035 4.035 7.060 4.035 -4.035 7.060 4.035 4.035 -7.060" Properties=species:S:1:pos:R:3 comment="PBE-GGA Th5Al2Sn, relaxed" delta_e_f_ev_per_atom=-0.3066 energy_ev_per_atom=-6.3800 pbc="T T T"
Th 0.000 0.000 0.000
Th 5.369 1.334 -2.110
Th 1.334 2.700 -2.110
Th 5.369 1.334 2.110
Th 1.334 2.700 2.110
Th 0.000 0.000 7.060
Th 2.700 1.334 4.951
Th -1.334 2.700 4.951
Th 2.700 1.334 9.170
Th -1.334 2.700 9.170
Al 3.040 0.995 0.000
Al 3.040 -0.995 7.060
Al 0.995 5.030 0.000
Al 0.995 3.040 7.060
Sn 0.000 0.000 3.530
Sn 0.000 0.000 10.591



(12)
8
Lattice="6.986 0.000 0.000 0.000 6.986 0.000 0.000 0.000 5.310" Properties=species:S:1:pos:R:3 comment="PBE-GGA Na2Tl5Pd, relaxed" delta_e_f_ev_per_atom=0.0010 energy_ev_per_atom=-2.4568 pbc="T T T"
Na 0.000 3.493 0.000
Na 3.493 0.000 0.000
Tl 0.000 0.000 0.000
Tl 1.951 1.951 2.655
Tl 1.951 5.035 2.655
Tl 5.035 1.951 2.655
Tl 5.035 5.035 2.655
Pd 0.000 0.000 2.655



(13)
14
Lattice="2.218 -22.893 0.000 2.218 22.893 0.000 0.000 0.000 4.437" Properties=species:S:1:pos:R:3 comment="PBE-GGA Nd2Te5, relaxed" energy_ev_per_atom=-4.7186 raw_formation_energy_ev_per_fu=-7.8 pbc="T T T"
Nd 2.218 18.221 3.328
Nd 2.218 8.900 3.328
Nd 2.218 -8.900 1.109
Nd 2.218 -18.221 1.109
Te 2.218 20.777 1.109
Te 2.218 14.903 3.328
Te 2.218 11.447 1.109
Te 2.218 5.626 3.328
Te 2.218 2.116 1.109
Te 2.218 -2.116 3.328
Te 2.218 -5.626 1.109
Te 2.218 -11.447 3.328
Te 2.218 -14.903 1.109
Te 2.218 -20.777 3.328



(14)
16
Lattice="2.245 -5.420 0.000 2.245 5.420 0.000 0.000 0.000 15.756" Properties=species:S:1:pos:R:3 comment="PBE-GGA La3Cu2Au3, relaxed" delta_e_f_ev_per_atom=-0.6107 energy_ev_per_atom=-4.7116 pbc="T T T"
La 2.245 4.394 9.416
La 2.245 4.394 14.217
La 2.245 1.473 11.817
La 2.245 -1.473 3.939
La 2.245 -4.394 1.538
La 2.245 -4.394 6.339
Cu 2.245 3.201 1.712
Cu 2.245 3.201 6.166
Cu 2.245 -3.201 9.590
Cu 2.245 -3.201 14.044
Au 2.245 1.645 3.939
Au 2.245 1.249 8.622
Au 2.245 1.249 15.012
Au 2.245 -1.249 0.744
Au 2.245 -1.249 7.134
Au 2.245 -1.645 11.817



(15)
5
Lattice="3.440 0.000 0.000 0.000 3.440 0.000 0.000 0.000 3.440" Properties=species:S:1:pos:R:3 comment="PBE-GGA BeH3Cl, relaxed" energy_ev_per_atom=-2.3100 relative_energy_ev_per_atom=0.000 pbc="T T T"
Be 0.000 0.000 0.000
H 0.000 0.000 1.720
H 0.000 1.720 0.000
H 1.720 0.000 0.000
Cl 1.720 1.720 1.720



(16)
5
Lattice="5.385 0.000 0.000 0.000 5.385 0.000 0.000 0.000 4.397" Properties=species:S:1:pos:R:3 comment="PBE-GGA SrLa2CrB, relaxed" delta_e_f_ev_per_atom=0.6346 energy_ev_per_atom=-4.9329 pbc="T T T"
Sr 0.000 0.000 0.000
La 0.000 2.692 2.198
La 2.692 0.000 2.198
Cr 2.692 2.692 2.198
B 2.692 2.692 0.000



(17)
5
Lattice="4.603 0.000 0.000 0.000 4.603 0.000 0.000 0.000 4.603" Properties=species:S:1:pos:R:3 comment="PBE-GGA Cu3OsC, relaxed" delta_e_f_ev_per_atom=2.7168 energy_ev_per_atom=-3.8317 relative_energy_ev_per_atom=1.776 pbc="T T T"
Cu 0.000 0.000 2.302
Cu 0.000 2.302 0.000
Cu 2.302 0.000 0.000
Os 0.000 0.000 0.000
C 2.302 2.302 2.302



(18)
4
Lattice="2.300 1.328 7.392 -2.300 1.328 7.392 0.000 -2.656 7.392" Properties=species:S:1:pos:R:3 comment="PBE-GGA LaNiSe2, relaxed" energy_ev_per_atom=-5.3333 raw_formation_energy_ev_per_fu=-3.7 pbc="T T T"
La 0.000 0.000 0.000
Ni 0.000 0.000 11.088
Se 0.000 0.000 8.839
Se 0.000 0.000 13.336



(19)
4
Lattice="1.853 1.070 10.674 -1.853 1.070 10.674 0.000 -2.139 10.674" Properties=species:S:1:pos:R:3 comment="PBE-GGA YCdCl2, relaxed" energy_ev_per_atom=-4.0755 relative_energy_ev_per_atom=0.000 raw_formation_energy_ev_per_fu=-5.2 pbc="T T T"
Y 0.000 0.000 0.000
Cd 0.000 0.000 16.011
Cl 0.000 0.000 8.973
Cl 0.000 0.000 23.048



(20)
5
Lattice="4.814 0.000 0.000 0.000 4.814 0.000 0.000 0.000 5.216" Properties=species:S:1:pos:R:3 comment="PBE-GGA TcPSe2Br, relaxed" energy_ev_per_atom=-4.1522 relative_energy_ev_per_atom=0.000 raw_formation_energy_ev_per_fu=3.7 pbc="T T T"
Tc 0.000 0.000 0.000
P 2.407 2.407 2.608
Se 0.000 2.407 0.000
Se 2.407 0.000 0.000
Br 0.000 0.000 2.608



(21)
15
Lattice="6.296 -6.302 0.000 6.296 6.302 0.000 -6.261 0.000 6.318" Properties=species:S:1:pos:R:3 comment="PBE-GGA Cs8H3F4, relaxed" energy_ev_per_atom=-3.0663 pbc="T T T"
Cs -0.053 0.000 3.023
Cs -3.196 0.000 6.268
Cs 6.296 3.251 0.000
Cs 3.166 3.182 3.159
Cs 3.166 -3.182 3.159
Cs 6.296 -3.251 0.000
Cs 9.527 0.000 0.050
Cs 6.384 0.000 3.295
H 0.018 3.151 3.159
H 0.018 -3.151 3.159
H 3.166 0.000 3.159
F 0.000 0.000 0.000
F -3.130 0.000 3.159
F 3.148 3.151 0.000
F 3.148 -3.151 0.000



(22)
4
Lattice="1.743 1.006 5.400 -1.743 1.006 5.400 0.000 -2.013 5.400" Properties=species:S:1:pos:R:3 comment="PBE-GGA LiSeN2, relaxed" energy_ev_per_atom=-4.5589 raw_formation_energy_ev_per_fu=3.8 pbc="T T T"
Li 0.000 0.000 0.000
Se 0.000 0.000 8.100
N 0.000 0.000 6.375
N 0.000 0.000 9.824



(23)
4
Lattice="3.897 0.000 0.000 0.000 3.897 0.000 0.000 0.000 4.052" Properties=species:S:1:pos:R:3 comment="PBE-GGA TiMoPt2, relaxed" delta_e_f_ev_per_atom=-0.6180 energy_ev_per_atom=-8.3199 pbc="T T T"
Ti 0.000 0.000 0.000
Mo 1.948 1.948 0.000
Pt 0.000 1.948 2.026
Pt 1.948 0.000 2.026



(24)
18
Lattice="4.300 2.483 5.236 -4.300 2.483 5.236 0.000 -4.965 5.236" Properties=species:S:1:pos:R:3 comment="PBE-GGA Ac2DyP3Rh12, relaxed" delta_e_f_ev_per_atom=-0.3070 energy_ev_per_atom=-6.8217 pbc="T T T"
Ac 0.000 0.000 1.683
Ac 0.000 0.000 14.025
Dy 0.000 0.000 7.854
P -2.150 -1.241 5.236
P -2.150 1.241 10.472
P 0.000 2.483 5.236
Rh -2.253 -1.301 7.427
Rh 0.000 -2.052 4.951
Rh -1.778 1.026 4.951
Rh 0.000 -2.602 8.281
Rh -2.253 1.301 8.281
Rh -1.778 -1.026 10.757
Rh 1.778 1.026 4.951
Rh 2.253 -1.301 7.427
Rh 0.000 2.602 7.427
Rh 1.778 -1.026 10.757
Rh 0.000 2.052 10.757
Rh 2.253 1.301 8.281



Number 1: density of states at the Fermi level 0.97 states/eV per atom. Number 2: density of states at the Fermi level 0.04 states/eV per atom. Number 3: density of states at the Fermi level 0.00 states/eV per atom. Number 4: density of states at the Fermi level 0.37 states/eV per atom. Number 5: density of states at the Fermi level 1.40 states/eV per atom. Number 6: density of states at the Fermi level 0.48 states/eV per atom. Number 7: density of states at the Fermi level 0.96 states/eV per atom. Number 8: density of states at the Fermi level 0.27 states/eV per atom. Number 9: density of states at the Fermi level 0.23 states/eV per atom. Number 10: density of states at the Fermi level 1.12 states/eV per atom. Number 11: density of states at the Fermi level 1.24 states/eV per atom. Number 12: density of states at the Fermi level 0.53 states/eV per atom. Number 13: density of states at the Fermi level 0.25 states/eV per atom. Number 14: density of states at the Fermi level 0.77 states/eV per atom. Number 15: density of states at the Fermi level 0.43 states/eV per atom. Number 16: density of states at the Fermi level 1.08 states/eV per atom. Number 17: density of states at the Fermi level 1.19 states/eV per atom. Number 18: density of states at the Fermi level 1.91 states/eV per atom. Number 19: density of states at the Fermi level 0.68 states/eV per atom. Number 20: density of states at the Fermi level 0.91 states/eV per atom. Number 21: density of states at the Fermi level 0.10 states/eV per atom. Number 22: density of states at the Fermi level 0.63 states/eV per atom. Number 23: density of states at the Fermi level 0.87 states/eV per atom. Number 24: density of states at the Fermi level 0.88 states/eV per atom.